# GGA-PBE PmPr5Zn3, optimized geometry
# theoretical density = 6.75 g/cm3
# formation energy = -129 meV/atom
# V = 28.57 Å³/atom
# raw total energy = -3.737 eV per atom
data_PmPr5Zn3
_symmetry_space_group_name_H-M 'P 63/m c m'
_symmetry_Int_Tables_number 193
_symmetry_space_group_name_Hall '-P 6c 2'
_cell_length_a 9.1811
_cell_length_b 9.1811
_cell_length_c 7.0445
_cell_angle_alpha 90.00
_cell_angle_beta 90.00
_cell_angle_gamma 120.00
loop_
_atom_site_label
_atom_site_type_symbol
_atom_site_fract_x
_atom_site_fract_y
_atom_site_fract_z
_atom_site_occupancy
Pm1 Pm 0.0000 0.0000 0.0000 1
Pr1 Pr 0.0000 0.3340 0.2500 1
Pr2 Pr 0.3333 0.6667 0.0000 1
Zn1 Zn 0.0000 0.3304 0.7500 1

***

# GGA-PBE PmPrZn2, optimized geometry
# theoretical density = 6.93 g/cm3
# formation energy = -309 meV/atom
# V = 24.96 Å³/atom
# raw total energy = -3.329 eV per atom
data_PmPrZn2
_symmetry_space_group_name_H-M 'F m -3 m'
_symmetry_Int_Tables_number 225
_symmetry_space_group_name_Hall '-F 4 2 3'
_cell_length_a 7.364
_cell_length_b 7.364
_cell_length_c 7.364
_cell_angle_alpha 90.00
_cell_angle_beta 90.00
_cell_angle_gamma 90.00
loop_
_atom_site_label
_atom_site_type_symbol
_atom_site_fract_x
_atom_site_fract_y
_atom_site_fract_z
_atom_site_occupancy
Pm1 Pm 0.000 0.000 0.000 1
Pr1 Pr 0.000 0.000 0.500 1
Zn1 Zn 0.250 0.250 0.250 1

***

# GGA-PBE Pm12Pr3Zn, optimized geometry
# theoretical density = 6.94 g/cm3
# formation energy = 18 meV/atom
# V = 33.34 Å³/atom
# raw total energy = -4.521 eV per atom
data_Pm12Pr3Zn
_symmetry_space_group_name_H-M 'P 4/m m m'
_symmetry_Int_Tables_number 123
_symmetry_space_group_name_Hall '-P 4 2'
_cell_length_a 5.096
_cell_length_b 5.096
_cell_length_c 20.540
_cell_angle_alpha 90.00
_cell_angle_beta 90.00
_cell_angle_gamma 90.00
loop_
_atom_site_label
_atom_site_type_symbol
_atom_site_fract_x
_atom_site_fract_y
_atom_site_fract_z
_atom_site_occupancy
Pm1 Pm 0.000 0.000 0.000 1
Pm2 Pm 0.000 0.000 0.241 1
Pm3 Pm 0.000 0.000 0.500 1
Pm4 Pm 0.000 0.500 0.116 1
Pm5 Pm 0.000 0.500 0.372 1
Pr1 Pr 0.500 0.500 0.244 1
Pr2 Pr 0.500 0.500 0.500 1
Zn1 Zn 0.500 0.500 0.000 1

***

# GGA-PBE PmPr4Zn5, optimized geometry
# theoretical density = 6.76 g/cm3
# formation energy = -301 meV/atom
# V = 25.42 Å³/atom
# raw total energy = -3.325 eV per atom
data_PmPr4Zn5
_symmetry_space_group_name_H-M 'P 4/m m m'
_symmetry_Int_Tables_number 123
_symmetry_space_group_name_Hall '-P 4 2'
_cell_length_a 3.704
_cell_length_b 3.704
_cell_length_c 18.532
_cell_angle_alpha 90.00
_cell_angle_beta 90.00
_cell_angle_gamma 90.00
loop_
_atom_site_label
_atom_site_type_symbol
_atom_site_fract_x
_atom_site_fract_y
_atom_site_fract_z
_atom_site_occupancy
Pm1 Pm 0.000 0.000 0.000 1
Pr1 Pr 0.000 0.000 0.198 1
Pr2 Pr 0.000 0.000 0.400 1
Zn1 Zn 0.500 0.500 0.096 1
Zn2 Zn 0.500 0.500 0.299 1
Zn3 Zn 0.500 0.500 0.500 1

***

# GGA-PBE Pm3PrZn, optimized geometry
# theoretical density = 6.69 g/cm3
# formation energy = -33 meV/atom
# V = 31.83 Å³/atom
# energy above the lowest structure with this stoichiometry = 0.0 meV/atom
# raw total energy = -4.094 eV per atom
data_Pm3PrZn
_symmetry_space_group_name_H-M 'C 1 2/m 1'
_symmetry_Int_Tables_number 12
_cell_length_a 27.504
_cell_length_b 3.724
_cell_length_c 6.363
_cell_angle_alpha 90.00
_cell_angle_beta 102.40
_cell_angle_gamma 90.00
loop_
_symmetry_equiv_pos_as_xyz
'x,y,z'
'-x,-y,-z'
'-x,y,-z'
'x,-y,z'
'x+1/2,y+1/2,z'
'-x+1/2,-y+1/2,-z'
'-x+1/2,y+1/2,-z'
'x+1/2,-y+1/2,z'
loop_
_atom_site_label
_atom_site_type_symbol
_atom_site_fract_x
_atom_site_fract_y
_atom_site_fract_z
_atom_site_occupancy
Pm1 Pm 0.012 0.000 0.270 1
Pm2 Pm 0.110 0.500 0.617 1
Pm3 Pm 0.151 0.000 0.150 1
Pr1 Pr 0.229 0.000 0.733 1
Zn1 Zn 0.064 0.500 0.027 1

***

# GGA-PBE PmPr7Zn4, optimized geometry
# theoretical density = 6.57 g/cm3
# formation energy = -19 meV/atom
# V = 29.33 Å³/atom
# raw total energy = -3.627 eV per atom
data_PmPr7Zn4
_symmetry_space_group_name_H-M 'C 1 2/m 1'
_symmetry_Int_Tables_number 12
_cell_length_a 14.176
_cell_length_b 5.733
_cell_length_c 10.409
_cell_angle_alpha 90.00
_cell_angle_beta 123.68
_cell_angle_gamma 90.00
loop_
_symmetry_equiv_pos_as_xyz
'x,y,z'
'-x,-y,-z'
'-x,y,-z'
'x,-y,z'
'x+1/2,y+1/2,z'
'-x+1/2,-y+1/2,-z'
'-x+1/2,y+1/2,-z'
'x+1/2,-y+1/2,z'
loop_
_atom_site_label
_atom_site_type_symbol
_atom_site_fract_x
_atom_site_fract_y
_atom_site_fract_z
_atom_site_occupancy
Pm1 Pm 0.000 0.000 0.000 1
Pr1 Pr 0.000 0.500 0.000 1
Pr2 Pr 0.068 0.000 0.394 1
Pr3 Pr 0.206 0.000 0.878 1
Pr4 Pr 0.213 0.500 0.656 1
Zn1 Zn 0.046 0.500 0.751 1
Zn2 Zn 0.177 0.500 0.336 1

***

# GGA-PBE PmPr4Zn2, optimized geometry
# theoretical density = 6.67 g/cm3
# formation energy = 18 meV/atom
# V = 29.87 Å³/atom
# raw total energy = -3.756 eV per atom
data_PmPr4Zn2
_symmetry_space_group_name_H-M 'R -3 m'
_symmetry_Int_Tables_number 166
_symmetry_space_group_name_Hall '-R 3 2"'
_cell_length_a 5.5682
_cell_length_b 5.5682
_cell_length_c 23.3629
_cell_angle_alpha 90.00
_cell_angle_beta 90.00
_cell_angle_gamma 120.00
loop_
_atom_site_label
_atom_site_type_symbol
_atom_site_fract_x
_atom_site_fract_y
_atom_site_fract_z
_atom_site_occupancy
Pm1 Pm 0.0000 0.0000 0.0000 1
Pr1 Pr 0.0000 0.0000 0.2529 1
Pr2 Pr 0.0000 0.0000 0.4310 1
Zn1 Zn 0.0000 0.0000 0.1237 1

***

# GGA-PBE PmPr2Zn3, optimized geometry
# theoretical density = 6.82 g/cm3
# formation energy = -301 meV/atom
# V = 25.28 Å³/atom
# energy above the lowest structure with this stoichiometry = 6.9 meV/atom
# raw total energy = -3.323 eV per atom
data_PmPr2Zn3
_symmetry_space_group_name_H-M 'P 4/m m m'
_symmetry_Int_Tables_number 123
_symmetry_space_group_name_Hall '-P 4 2'
_cell_length_a 3.695
_cell_length_b 3.695
_cell_length_c 11.111
_cell_angle_alpha 90.00
_cell_angle_beta 90.00
_cell_angle_gamma 90.00
loop_
_atom_site_label
_atom_site_type_symbol
_atom_site_fract_x
_atom_site_fract_y
_atom_site_fract_z
_atom_site_occupancy
Pm1 Pm 0.000 0.000 0.000 1
Pr1 Pr 0.000 0.000 0.331 1
Zn1 Zn 0.500 0.500 0.161 1
Zn2 Zn 0.500 0.500 0.500 1

***

# GGA-PBE Pm3PrZn4, optimized geometry
# theoretical density = 7.03 g/cm3
# formation energy = -312 meV/atom
# V = 24.73 Å³/atom
# raw total energy = -3.328 eV per atom
data_Pm3PrZn4
_symmetry_space_group_name_H-M 'P m m a'
_symmetry_Int_Tables_number 51
_cell_length_a 10.366
_cell_length_b 7.364
_cell_length_c 5.184
_cell_angle_alpha 90.00
_cell_angle_beta 90.00
_cell_angle_gamma 90.00
loop_
_symmetry_equiv_pos_as_xyz
'x,y,z'
'-x,-y,-z'
'-x+1/2,-y,z'
'x+1/2,y,-z'
'x+1/2,-y,-z'
'-x+1/2,y,z'
'-x,y,-z'
'x,-y,z'
loop_
_atom_site_label
_atom_site_type_symbol
_atom_site_fract_x
_atom_site_fract_y
_atom_site_fract_z
_atom_site_occupancy
Pm1 Pm 0.000 0.000 0.000 1
Pm2 Pm 0.250 0.000 0.499 1
Pm3 Pm 0.250 0.500 0.499 1
Pr1 Pr 0.000 0.500 0.000 1
Zn1 Zn 0.000 0.247 0.500 1
Zn2 Zn 0.250 0.247 0.999 1

***

# GGA-PBE Pm3Pr4Zn, optimized geometry
# theoretical density = 6.68 g/cm3
# formation energy = -65 meV/atom
# V = 33.07 Å³/atom
# raw total energy = -4.395 eV per atom
data_Pm3Pr4Zn
_symmetry_space_group_name_H-M 'P 4/m m m'
_symmetry_Int_Tables_number 123
_symmetry_space_group_name_Hall '-P 4 2'
_cell_length_a 3.705
_cell_length_b 3.705
_cell_length_c 19.272
_cell_angle_alpha 90.00
_cell_angle_beta 90.00
_cell_angle_gamma 90.00
loop_
_atom_site_label
_atom_site_type_symbol
_atom_site_fract_x
_atom_site_fract_y
_atom_site_fract_z
_atom_site_occupancy
Pm1 Pm 0.000 0.000 0.000 1
Pm2 Pm 0.000 0.000 0.268 1
Pr1 Pr 0.500 0.500 0.134 1
Pr2 Pr 0.500 0.500 0.404 1
Zn1 Zn 0.000 0.000 0.500 1

***

# GGA-PBE PmPr3Zn8, optimized geometry
# theoretical density = 7.28 g/cm3
# formation energy = -297 meV/atom
# V = 20.73 Å³/atom
# raw total energy = -2.737 eV per atom
data_PmPr3Zn8
_symmetry_space_group_name_H-M 'P 3 m 1'
_symmetry_Int_Tables_number 156
_cell_length_a 5.7229
_cell_length_b 5.7229
_cell_length_c 8.7708
_cell_angle_alpha 90.00
_cell_angle_beta 90.00
_cell_angle_gamma 120.00
loop_
_symmetry_equiv_pos_as_xyz
'x,y,z'
'-y,x-y,z'
'-x+y,-x,z'
'-y,-x,z'
'-x+y,y,z'
'x,x-y,z'
loop_
_atom_site_label
_atom_site_type_symbol
_atom_site_fract_x
_atom_site_fract_y
_atom_site_fract_z
_atom_site_occupancy
Pm1 Pm 0.0000 0.0000 0.0000 1
Pr1 Pr 0.0000 0.0000 0.3948 1
Pr2 Pr 0.6667 0.3333 0.4980 1
Pr3 Pr 0.6667 0.3333 0.8964 1
Zn1 Zn 0.0081 0.5041 0.1965 1
Zn2 Zn 0.1690 0.3380 0.6989 1
Zn3 Zn 0.3333 0.6667 0.4488 1
Zn4 Zn 0.3333 0.6667 0.9466 1

***

# GGA-PBE Pm2Pr2Zn, optimized geometry
# theoretical density = 6.83 g/cm3
# formation energy = -34 meV/atom
# V = 30.97 Å³/atom
# energy above the lowest structure with this stoichiometry = 87.2 meV/atom
# raw total energy = -4.101 eV per atom
data_Pm2Pr2Zn
_symmetry_space_group_name_H-M 'C 1 2/m 1'
_symmetry_Int_Tables_number 12
_cell_length_a 8.494
_cell_length_b 9.650
_cell_length_c 8.305
_cell_angle_alpha 90.00
_cell_angle_beta 114.50
_cell_angle_gamma 90.00
loop_
_symmetry_equiv_pos_as_xyz
'x,y,z'
'-x,-y,-z'
'-x,y,-z'
'x,-y,z'
'x+1/2,y+1/2,z'
'-x+1/2,-y+1/2,-z'
'-x+1/2,y+1/2,-z'
'x+1/2,-y+1/2,z'
loop_
_atom_site_label
_atom_site_type_symbol
_atom_site_fract_x
_atom_site_fract_y
_atom_site_fract_z
_atom_site_occupancy
Pm1 Pm 0.076 0.191 0.234 1
Pr1 Pr 0.161 0.500 0.911 1
Pr2 Pr 0.223 0.000 0.623 1
Zn1 Zn 0.000 0.358 0.500 1

***

Which value of theoretical density does entry 2 give?
6.93 g/cm3